PBE Pm3Ga7Pd4, relaxed; symmetry = C2/m, No. 12; DFT formation energy = -73.13 kJ per mole of atoms; energy = -66.82 eV/cell
1.0
7.9729 -2.2030 0.0000
7.9729 2.2030 0.0000
-5.3115 0.0000 7.6559
Pm Ga Pd
3 7 4
Cartesian
0.0000 0.0000 0.0000
3.3219 0.0000 2.3511
7.3125 0.0000 5.3048
-2.6557 0.0000 3.8279
0.1564 0.0000 3.2678
0.0304 0.0000 7.3892
6.4210 0.0000 2.1919
4.2133 0.0000 5.4639
10.6040 0.0000 0.2666
10.4779 0.0000 4.3880
-2.5276 0.0000 6.5536
1.6904 0.0000 5.4320
8.9439 0.0000 2.2238
13.1619 0.0000 1.1023

***

PBE La2Sm3Al, relaxed; symmetry = Pmmn, No. 59; DFT formation energy = -8.24 kJ per mole of atoms; energy = -56.53 eV/cell
1.0
5.5431 0.0000 0.0000
0.0000 18.0820 0.0000
0.0000 0.0000 3.8448
La Sm Al
4 6 2
Cartesian
1.3858 1.2387 0.0039
1.3858 7.8023 0.0039
4.1573 10.2796 3.8409
4.1573 16.8433 3.8409
1.3858 4.5205 1.9316
1.3858 11.1164 1.9185
1.3858 16.0066 1.9185
4.1573 2.0754 1.9263
4.1573 6.9656 1.9263
4.1573 13.5615 1.9132
1.3858 13.5615 3.8390
4.1573 4.5205 0.0058

***

PBE NiMo2Cl, relaxed; formation energy from raw total energies = 1.28 eV/f.u.; symmetry = Pmmm, No. 47; energy = -28.01 eV/cell
1.0
2.7808 0.0000 0.0000
0.0000 3.3555 0.0000
0.0000 0.0000 6.7272
Ni Mo Cl
1 2 1
Cartesian
0.0000 0.0000 0.0000
1.3904 1.6777 1.3455
1.3904 1.6777 5.3817
1.3904 0.0000 3.3636